Version P
Below is crystalline ZnTePtO at its relaxed geometry, with properties calculated at the PBE level.

Calculated values
Crystal system: monoclinic
Size of the total moment in μB/cell: 0.0

a = 4.450 Å, b = 4.450 Å, c = 7.736 Å
α = 92.59°, β = 92.59°, γ = 86.79°
Positions (direct):
O (0.055, 0.055, 0.047)
O (0.611, 0.611, 0.106)
Pt (0.771, 0.332, 0.901)
Pt (0.332, 0.771, 0.901)
Te (0.251, 0.251, 0.383)
Te (0.832, 0.832, 0.695)
Zn (0.866, 0.866, 0.251)
Zn (0.282, 0.282, 0.715)



Version Q
Below is crystalline ZnTePtO at its relaxed geometry, with properties calculated at the PBE level.

Calculated values
Crystal system: orthorhombic
Size of the total moment in μB/cell: 0.0

a = 6.271 Å, b = 10.975 Å, c = 8.591 Å
α = 90.00°, β = 90.00°, γ = 90.00°
Positions (direct):
O (0.748, 0.336, 0.096)
O (0.752, 0.836, 0.096)
O (0.248, 0.336, 0.404)
O (0.252, 0.836, 0.404)
O (0.748, 0.164, 0.596)
O (0.752, 0.664, 0.596)
O (0.248, 0.164, 0.904)
O (0.252, 0.664, 0.904)
Pt (0.497, 0.335, 0.249)
Pt (0.003, 0.835, 0.249)
Pt (0.997, 0.335, 0.251)
Pt (0.503, 0.835, 0.251)
Pt (0.497, 0.165, 0.749)
Pt (0.003, 0.665, 0.749)
Pt (0.997, 0.165, 0.751)
Pt (0.503, 0.665, 0.751)
Te (0.007, 0.083, 0.250)
Te (0.493, 0.583, 0.250)
Te (0.507, 0.083, 0.250)
Te (0.993, 0.583, 0.250)
Te (0.007, 0.417, 0.750)
Te (0.493, 0.917, 0.750)
Te (0.507, 0.417, 0.750)
Te (0.993, 0.917, 0.750)
Zn (0.245, 0.326, 0.007)
Zn (0.255, 0.826, 0.007)
Zn (0.745, 0.326, 0.493)
Zn (0.755, 0.826, 0.493)
Zn (0.245, 0.174, 0.507)
Zn (0.255, 0.674, 0.507)
Zn (0.745, 0.174, 0.993)
Zn (0.755, 0.674, 0.993)



Top of the stability list: version Q, leading by 63 meV/atom.



Version P
Below is crystalline NdAgPbS3 at its relaxed geometry, with properties calculated at the PBE level.

Calculated values
Crystal system: monoclinic
Size of the total moment in μB/cell: 0.0

a = 9.141 Å, b = 9.141 Å, c = 8.413 Å
α = 103.66°, β = 103.66°, γ = 25.48°
Positions (direct):
Ag (0.524, 0.524, 0.211)
Ag (0.476, 0.476, 0.789)
Nd (0.164, 0.164, 0.091)
Nd (0.836, 0.836, 0.909)
Pb (0.869, 0.869, 0.427)
Pb (0.131, 0.131, 0.573)
S (0.000, 0.000, 0.000)
S (0.328, 0.328, 0.145)
S (0.679, 0.679, 0.331)
S (0.500, 0.500, 0.500)
S (0.321, 0.321, 0.669)
S (0.672, 0.672, 0.855)



Version Q
Below is crystalline NdAgPbS3 at its relaxed geometry, with properties calculated at the PBE level.

Calculated values
Crystal system: monoclinic
Size of the total moment in μB/cell: 0.0

a = 7.569 Å, b = 4.103 Å, c = 9.893 Å
α = 90.00°, β = 104.84°, γ = 90.00°
Positions (direct):
Ag (0.895, 0.750, 0.413)
Ag (0.105, 0.250, 0.587)
Nd (0.710, 0.250, 0.152)
Nd (0.290, 0.750, 0.848)
Pb (0.285, 0.250, 0.308)
Pb (0.715, 0.750, 0.692)
S (0.439, 0.750, 0.140)
S (0.970, 0.750, 0.177)
S (0.706, 0.250, 0.451)
S (0.294, 0.750, 0.549)
S (0.030, 0.250, 0.823)
S (0.561, 0.250, 0.860)



Top of the stability list: version P, leading by 16 meV/atom.



Version P
Below is crystalline SrErNO at its relaxed geometry, with properties calculated at the PBE level.

Calculated values
Crystal system: orthorhombic
Size of the total moment in μB/cell: 0.0

a = 3.943 Å, b = 5.678 Å, c = 6.858 Å
α = 90.00°, β = 90.00°, γ = 90.00°
Positions (direct):
Er (0.000, 0.485, 0.341)
Er (0.000, 0.985, 0.659)
N (0.000, 0.869, 0.358)
N (0.000, 0.369, 0.642)
O (0.500, 0.422, 0.190)
O (0.500, 0.922, 0.810)
Sr (0.500, 0.979, 0.174)
Sr (0.500, 0.479, 0.826)



Version Q
Below is crystalline SrErNO at its relaxed geometry, with properties calculated at the PBE level.

Calculated values
Crystal system: orthorhombic
Size of the total moment in μB/cell: 0.0

a = 6.717 Å, b = 8.172 Å, c = 5.654 Å
α = 90.00°, β = 90.00°, γ = 90.00°
Positions (direct):
Er (0.915, 0.385, 0.499)
Er (0.415, 0.615, 0.499)
Er (0.585, 0.385, 0.999)
Er (0.085, 0.615, 0.999)
N (0.452, 0.160, 0.069)
N (0.952, 0.840, 0.069)
N (0.048, 0.160, 0.569)
N (0.548, 0.840, 0.569)
O (0.899, 0.406, 0.113)
O (0.399, 0.594, 0.113)
O (0.601, 0.406, 0.613)
O (0.101, 0.594, 0.613)
Sr (0.080, 0.126, 0.023)
Sr (0.580, 0.874, 0.023)
Sr (0.420, 0.126, 0.523)
Sr (0.920, 0.874, 0.523)



Top of the stability list: version P, leading by 86 meV/atom.



Version P
Below is crystalline BeHgTeO at its relaxed geometry, with properties calculated at the PBE level.

Calculated values
Crystal system: orthorhombic

a = 5.144 Å, b = 8.873 Å, c = 7.643 Å
α = 90.00°, β = 90.00°, γ = 90.00°
Positions (direct):
Be (0.254, 0.197, 0.017)
Be (0.746, 0.697, 0.483)
Be (0.246, 0.803, 0.517)
Be (0.754, 0.303, 0.983)
Hg (0.269, 0.557, 0.191)
Hg (0.731, 0.057, 0.309)
Hg (0.231, 0.443, 0.691)
Hg (0.769, 0.943, 0.809)
O (0.533, 0.217, 0.057)
O (0.467, 0.717, 0.443)
O (0.967, 0.783, 0.557)
O (0.033, 0.283, 0.943)
Te (0.087, 0.923, 0.094)
Te (0.913, 0.423, 0.406)
Te (0.413, 0.077, 0.594)
Te (0.587, 0.577, 0.906)



Version Q
Below is crystalline BeHgTeO at its relaxed geometry, with properties calculated at the PBE level.

Calculated values
Crystal system: orthorhombic

a = 5.635 Å, b = 15.194 Å, c = 8.326 Å
α = 90.00°, β = 90.00°, γ = 90.00°
Positions (direct):
Be (0.961, 0.234, 0.247)
Be (0.539, 0.734, 0.247)
Be (0.461, 0.234, 0.253)
Be (0.039, 0.734, 0.253)
Be (0.961, 0.266, 0.747)
Be (0.539, 0.766, 0.747)
Be (0.461, 0.266, 0.753)
Be (0.039, 0.766, 0.753)
Hg (0.083, 0.399, 0.069)
Hg (0.417, 0.899, 0.069)
Hg (0.583, 0.399, 0.431)
Hg (0.917, 0.899, 0.431)
Hg (0.083, 0.101, 0.569)
Hg (0.417, 0.601, 0.569)
Hg (0.583, 0.101, 0.931)
Hg (0.917, 0.601, 0.931)
O (0.211, 0.263, 0.245)
O (0.289, 0.763, 0.245)
O (0.711, 0.263, 0.255)
O (0.789, 0.763, 0.255)
O (0.211, 0.237, 0.745)
O (0.289, 0.737, 0.745)
O (0.711, 0.237, 0.755)
O (0.789, 0.737, 0.755)
Te (0.956, 0.062, 0.187)
Te (0.544, 0.562, 0.187)
Te (0.456, 0.062, 0.313)
Te (0.044, 0.562, 0.313)
Te (0.956, 0.438, 0.687)
Te (0.544, 0.938, 0.687)
Te (0.456, 0.438, 0.813)
Te (0.044, 0.938, 0.813)



Top of the stability list: version P, leading by 181 meV/atom.



Version P
Below is crystalline GdAuNO at its relaxed geometry, with properties calculated at the PBE level.

Calculated values
Crystal system: orthorhombic
Size of the total moment in μB/cell: 0.0

a = 5.750 Å, b = 7.752 Å, c = 5.600 Å
α = 90.00°, β = 90.00°, γ = 90.00°
Positions (direct):
Au (0.069, 0.030, 0.023)
Au (0.569, 0.970, 0.023)
Au (0.431, 0.030, 0.523)
Au (0.931, 0.970, 0.523)
Gd (0.039, 0.365, 0.373)
Gd (0.539, 0.635, 0.373)
Gd (0.461, 0.365, 0.873)
Gd (0.961, 0.635, 0.873)
N (0.356, 0.165, 0.190)
N (0.856, 0.835, 0.190)
N (0.144, 0.165, 0.690)
N (0.644, 0.835, 0.690)
O (0.752, 0.465, 0.117)
O (0.252, 0.535, 0.117)
O (0.748, 0.465, 0.617)
O (0.248, 0.535, 0.617)



Version Q
Below is crystalline GdAuNO at its relaxed geometry, with properties calculated at the PBE level.

Calculated values
Crystal system: tetragonal
Size of the total moment in μB/cell: 2.0

a = 3.943 Å, b = 3.943 Å, c = 7.600 Å
α = 90.00°, β = 90.00°, γ = 90.00°
Positions (direct):
Au (0.750, 0.250, 0.500)
Au (0.250, 0.750, 0.500)
Gd (0.250, 0.250, 0.146)
Gd (0.750, 0.750, 0.854)
N (0.750, 0.750, 0.317)
N (0.250, 0.250, 0.682)
O (0.750, 0.250, 0.000)
O (0.250, 0.750, 0.000)



Top of the stability list: version P, leading by 285 meV/atom.



Version P
Below is crystalline AcAsOsO at its relaxed geometry, with properties calculated at the PBE level.

Calculated values
Crystal system: orthorhombic
Size of the total moment in μB/cell: 0.8

a = 4.329 Å, b = 4.430 Å, c = 7.683 Å
α = 90.00°, β = 90.00°, γ = 90.00°
Positions (direct):
Ac (0.500, 0.749, 0.104)
Ac (0.500, 0.251, 0.604)
As (0.000, 0.244, 0.273)
As (0.000, 0.756, 0.773)
O (0.500, 0.763, 0.434)
O (0.500, 0.237, 0.934)
Os (0.000, 0.729, 0.443)
Os (0.000, 0.271, 0.943)



Version Q
Below is crystalline AcAsOsO at its relaxed geometry, with properties calculated at the PBE level.

Calculated values
Crystal system: tetragonal
Size of the total moment in μB/cell: 0.0

a = 4.202 Å, b = 4.202 Å, c = 8.830 Å
α = 90.00°, β = 90.00°, γ = 90.00°
Positions (direct):
Ac (0.250, 0.250, 0.146)
Ac (0.750, 0.750, 0.854)
As (0.750, 0.750, 0.354)
As (0.250, 0.250, 0.646)
O (0.750, 0.250, 0.000)
O (0.250, 0.750, 0.000)
Os (0.750, 0.250, 0.500)
Os (0.250, 0.750, 0.500)



Top of the stability list: version Q, leading by 596 meV/atom.